# Hg5Sb4

A geometry-optimized Hg5Sb4 structure (PBE, Alexandria via LeMat-Bulk).

a = 9.4935 Å, b = 9.4935 Å, c = 6.8034 Å
α = 90.00°, β = 90.00°, γ = 120.00°
Closest atoms and distances in Å follow each position.
Space group P6_3/mcm (No. 193)
Inequivalent atoms, fractional coordinates:
Hg 0.0000 0.2542 0.2500 x6  3 Sb 2.74-2.95
Hg 0.3333 0.6667 0.0000 x4  6 Sb 3.25, 2 Hg 3.40
Sb 0.0000 0.0000 0.0000 x2  6 Hg 2.95
Sb 0.0000 0.4575 0.7500 x6  1 Hg 2.74

Values from the calculation:
The raw formation energy is 183 meV per atom. The density of states at the Fermi level is 4.90 states/eV/f.u. Its theoretical density is 9.32 Mg/m³. The total magnetization comes out at 0.00 μB per cell.